## Pu3P3Pt2 (PBE)

Data for a geometry-optimized Pu3P3Pt2 structure.

Calculated values
* uncorrected energy: -157.070 eV for the cell shown
* magnetic moment: 2.1035 μB per atom
* DFT formation energy: -904 meV/atom

Unit cell a=4.166 b=5.737 c=14.372 alpha=90.00 beta=90.00 gamma=111.29
Element x y z (fractional)
P1 0.289 0.578 0.250
P2 0.408 0.816 0.540
P3 0.711 0.422 0.750
P4 0.592 0.184 0.040
P5 0.408 0.816 0.960
P6 0.592 0.184 0.460
Pu1 0.858 0.716 0.105
Pu2 0.564 0.127 0.250
Pu3 0.858 0.716 0.395
Pu4 0.436 0.873 0.750
Pu5 0.142 0.284 0.605
Pu6 0.142 0.284 0.895
Pt1 0.858 0.715 0.887
Pt2 0.142 0.285 0.113
Pt3 0.142 0.285 0.387
Pt4 0.858 0.715 0.613